## KNaF3 (PBE)

Data for an optimized crystal structure of KNaF3.

Total magnetic moment in μB per formula unit: 1.0
Energy relative to the lowest polymorph listed for this composition in eV/atom: 0.389
Fermi-level density of states in states/eV per atom: 1.272

Cell: 4.8303 4.8303 4.8303 Å, 90.00 90.00 90.00°
With the nearest neighbours (Å) after each atom.
Space group Pm-3m (No. 221)
Unique sites:
1 K 0.0000 0.0000 0.0000 [1 per cell]  6 F 2.42
2 Na 0.5000 0.5000 0.5000 [1 per cell]  12 F 3.42
3 F 0.0000 0.0000 0.5000 [3 per cell]  2 K 2.42